A relaxed Li4TiCrO6 crystal, computed with GGA+U.

Summary:
The calculation puts the relative energy among the computed polymorphs at 0.112 kcal/mol of atoms.

Lattice parameters (Å, degrees): 5.0448 5.0601 19.4007 84.85 86.93 60.52
Site moments in Bohr magnetons follow the coordinates.
Fractional positions:
Li 0.5000 0.5000 0.5000  0.00
Li 0.5023 0.3764 0.8751  0.00
Li 0.1810 0.4121 0.7498  0.00
Li 0.5000 0.0000 0.0000  0.00
Li 0.4981 0.8732 0.3748  0.00
Li 0.4915 0.7504 0.7503  0.00
Li 0.1776 0.9080 0.2492  0.00
Li 0.5085 0.2496 0.2497  0.00
Li 0.8173 0.3300 0.9996  0.00
Li 0.1762 0.1506 0.4988  0.00
Li 0.8238 0.8494 0.5012  0.00
Li 0.1827 0.6700 0.0004  0.00
Li 0.8224 0.0920 0.7508  0.00
Li 0.5019 0.1268 0.6252  0.00
Li 0.8190 0.5879 0.2502  0.00
Li 0.4977 0.6236 0.1249  0.00
Ti 0.8326 0.4560 0.6245  -0.02
Ti 0.1669 0.2963 0.1252  -0.02
Ti 0.8331 0.7037 0.8748  -0.02
Ti 0.1674 0.5440 0.3755  -0.02
Cr 0.8321 0.9560 0.1248  -2.11
Cr 0.1672 0.7942 0.6255  -2.10
Cr 0.8328 0.2058 0.3745  -2.10
Cr 0.1679 0.0440 0.8752  -2.11
O 0.5021 0.4594 0.6834  0.00
O 0.4933 0.7895 0.5678  0.03
O 0.5069 0.9611 0.1822  0.03
O 0.1461 0.3459 0.9311  0.04
O 0.1460 0.5049 0.5690  0.03
O 0.4976 0.2909 0.0666  0.00
O 0.8551 0.3965 0.8177  0.00
O 0.1462 0.8532 0.4320  0.01
O 0.1399 0.9998 0.0691  0.03
O 0.1463 0.7538 0.8191  0.03
O 0.8605 0.7503 0.6811  0.03
O 0.8528 0.9034 0.3192  0.04
O 0.1472 0.0966 0.6808  0.04
O 0.1395 0.2497 0.3189  0.03
O 0.8537 0.2462 0.1809  0.03
O 0.8601 0.0002 0.9309  0.03
O 0.8538 0.1468 0.5680  0.01
O 0.1449 0.6035 0.1823  0.00
O 0.5024 0.7091 0.9334  0.00
O 0.8540 0.4951 0.4310  0.03
O 0.8539 0.6541 0.0689  0.04
O 0.4931 0.0389 0.8178  0.03
O 0.5067 0.2105 0.4322  0.03
O 0.4979 0.5406 0.3166  0.00